Compound: Cu6NiPt
Source: Alexandria via LeMat-Bulk
Functional: PBE
Structure: optimized geometry

Structure (CIF):
```
data_Cu6NiPt
_chemical_formula_sum 'Cu6 Ni1 Pt1'
_symmetry_space_group_name_H-M 'P 4/m m m'
_symmetry_Int_Tables_number 123
_symmetry_space_group_name_Hall '-P 4 2'
_cell_length_a 3.672
_cell_length_b 3.672
_cell_length_c 7.282
_cell_angle_alpha 90.00
_cell_angle_beta 90.00
_cell_angle_gamma 90.00
loop_
_atom_site_label
_atom_site_type_symbol
_atom_site_fract_x
_atom_site_fract_y
_atom_site_fract_z
_atom_site_occupancy
Cu1 Cu 0.000 0.000 0.000 1
Cu2 Cu 0.000 0.000 0.500 1
Cu3 Cu 0.000 0.500 0.240 1
Ni1 Ni 0.500 0.500 0.000 1
Pt1 Pt 0.500 0.500 0.500 1
```

total magnetic moment: 0.000 μB per atom
ρ: 10.7 g/cm3
total DFT energy (no corrections): -4.614 eV/atom

***

Compound: ErCuCl
Source: Alexandria via LeMat-Bulk
Functional: PBE
Structure: optimized geometry

Structure (CIF):
```
data_ErCuCl
_chemical_formula_sum 'Er6 Cu6 Cl6'
_symmetry_space_group_name_H-M 'R -3 m'
_symmetry_Int_Tables_number 166
_symmetry_space_group_name_Hall '-R 3 2"'
_cell_length_a 3.5410
_cell_length_b 3.5410
_cell_length_c 38.2849
_cell_angle_alpha 90.00
_cell_angle_beta 90.00
_cell_angle_gamma 120.00
loop_
_atom_site_label
_atom_site_type_symbol
_atom_site_fract_x
_atom_site_fract_y
_atom_site_fract_z
_atom_site_occupancy
Er1 Er 0.0000 0.0000 0.2025 1
Cu1 Cu 0.0000 0.0000 0.3503 1
Cl1 Cl 0.0000 0.0000 0.4149 1
```

total magnetic moment: 0.137 μB per atom
uncorrected formation energy: -0.57 eV/atom
ρ: 6.4 g/cm3
total DFT energy (no corrections): -4.076 eV/atom

***

Compound: Cd2SbAu
Source: Alexandria via LeMat-Bulk
Functional: PBE
Structure: optimized geometry

Structure (CIF):
```
data_Cd2SbAu
_chemical_formula_sum 'Cd2 Sb1 Au1'
_symmetry_space_group_name_H-M 'P 1 2/m 1'
_symmetry_Int_Tables_number 10
_cell_length_a 4.259
_cell_length_b 3.640
_cell_length_c 6.023
_cell_angle_alpha 90.00
_cell_angle_beta 99.02
_cell_angle_gamma 90.00
loop_
_symmetry_equiv_pos_as_xyz
'x,y,z'
'-x,-y,-z'
'-x,y,-z'
'x,-y,z'
loop_
_atom_site_label
_atom_site_type_symbol
_atom_site_fract_x
_atom_site_fract_y
_atom_site_fract_z
_atom_site_occupancy
Cd1 Cd 0.024 0.000 0.264 1
Sb1 Sb 0.500 0.500 0.000 1
Au1 Au 0.500 0.500 0.500 1
```

total magnetic moment: 0.000 μB per atom
uncorrected formation energy: 0.02 eV/atom
ρ: 9.8 g/cm3
total DFT energy (no corrections): -2.287 eV/atom

***

Compound: SnAuN2F
Source: Alexandria via LeMat-Bulk
Functional: PBE
Structure: optimized geometry

Structure (CIF):
```
data_SnAuN2F
_chemical_formula_sum 'Sn1 Au1 N2 F1'
_symmetry_space_group_name_H-M 'P 4/m m m'
_symmetry_Int_Tables_number 123
_symmetry_space_group_name_Hall '-P 4 2'
_cell_length_a 3.984
_cell_length_b 3.984
_cell_length_c 5.113
_cell_angle_alpha 90.00
_cell_angle_beta 90.00
_cell_angle_gamma 90.00
loop_
_atom_site_label
_atom_site_type_symbol
_atom_site_fract_x
_atom_site_fract_y
_atom_site_fract_z
_atom_site_occupancy
Sn1 Sn 0.000 0.000 0.000 1
Au1 Au 0.500 0.500 0.500 1
N1 N 0.000 0.500 0.500 1
F1 F 0.500 0.500 0.000 1
```

total magnetic moment: 0.443 μB per atom
uncorrected formation energy: 0.91 eV/atom
ΔE to the lowest computed polymorph: 0.195 eV per atom
ρ: 7.4 g/cm3
total DFT energy (no corrections): -4.251 eV/atom

***

Compound: Li4LuPb
Source: Alexandria via LeMat-Bulk
Functional: PBE
Structure: optimized geometry

Structure (CIF):
```
data_Li4LuPb
_chemical_formula_sum 'Li16 Lu4 Pb4'
_symmetry_space_group_name_H-M 'F -4 3 m'
_symmetry_Int_Tables_number 216
_symmetry_space_group_name_Hall 'F -4 2 3'
_cell_length_a 7.884
_cell_length_b 7.884
_cell_length_c 7.884
_cell_angle_alpha 90.00
_cell_angle_beta 90.00
_cell_angle_gamma 90.00
loop_
_atom_site_label
_atom_site_type_symbol
_atom_site_fract_x
_atom_site_fract_y
_atom_site_fract_z
_atom_site_occupancy
Li1 Li 0.124 0.124 0.124 1
Lu1 Lu 0.250 0.250 0.750 1
Pb1 Pb 0.000 0.000 0.500 1
```

total magnetic moment: 0.000 μB per atom
ρ: 5.6 g/cm3
total DFT energy (no corrections): -2.740 eV/atom

***

Compound: LiCe4Er3S8
Source: Alexandria via LeMat-Bulk
Functional: PBE
Structure: optimized geometry

Structure (CIF):
```
data_LiCe4Er3S8
_chemical_formula_sum 'Li3 Ce12 Er9 S24'
_symmetry_space_group_name_H-M 'R -3 m'
_symmetry_Int_Tables_number 166
_symmetry_space_group_name_Hall '-R 3 2"'
_cell_length_a 7.8410
_cell_length_b 7.8410
_cell_length_c 19.5482
_cell_angle_alpha 90.00
_cell_angle_beta 90.00
_cell_angle_gamma 120.00
loop_
_atom_site_label
_atom_site_type_symbol
_atom_site_fract_x
_atom_site_fract_y
_atom_site_fract_z
_atom_site_occupancy
Li1 Li 0.0000 0.0000 0.0000 1
Ce1 Ce 0.0000 0.0000 0.5000 1
Ce2 Ce 0.0000 0.5000 0.5000 1
Er1 Er 0.0000 0.5000 0.0000 1
S1 S 0.0000 0.0000 0.2551 1
S2 S 0.0038 0.5019 0.7438 1
```

total magnetic moment: 0.256 μB per atom
uncorrected formation energy: -1.95 eV/atom
ρ: 6.3 g/cm3
total DFT energy (no corrections): -6.476 eV/atom

***

Compound: HoTe2As2Pd7
Source: Alexandria via LeMat-Bulk
Functional: PBE
Structure: optimized geometry

Structure (CIF):
```
data_HoTe2As2Pd7
_chemical_formula_sum 'Ho2 Te4 As4 Pd14'
_symmetry_space_group_name_H-M 'C 1 2/m 1'
_symmetry_Int_Tables_number 12
_cell_length_a 5.686
_cell_length_b 5.684
_cell_length_c 15.293
_cell_angle_alpha 90.00
_cell_angle_beta 100.64
_cell_angle_gamma 90.00
loop_
_symmetry_equiv_pos_as_xyz
'x,y,z'
'-x,-y,-z'
'-x,y,-z'
'x,-y,z'
'x+1/2,y+1/2,z'
'-x+1/2,-y+1/2,-z'
'-x+1/2,y+1/2,-z'
'x+1/2,-y+1/2,z'
loop_
_atom_site_label
_atom_site_type_symbol
_atom_site_fract_x
_atom_site_fract_y
_atom_site_fract_z
_atom_site_occupancy
Ho1 Ho 0.000 0.000 0.000 1
Te1 Te 0.208 0.000 0.418 1
As1 As 0.119 0.500 0.239 1
Pd1 Pd 0.000 0.500 0.000 1
Pd2 Pd 0.179 0.250 0.857 1
Pd3 Pd 0.200 0.500 0.402 1
```

total magnetic moment: 0.000 μB per atom
uncorrected formation energy: -0.52 eV/atom
ρ: 9.0 g/cm3
total DFT energy (no corrections): -5.233 eV/atom

***

Compound: YHg3Pd6
Source: Alexandria via LeMat-Bulk
Functional: PBE
Structure: optimized geometry

Structure (CIF):
```
data_YHg3Pd6
_chemical_formula_sum 'Y2 Hg6 Pd12'
_symmetry_space_group_name_H-M 'P 1 21/m 1'
_symmetry_Int_Tables_number 11
_cell_length_a 8.864
_cell_length_b 4.326
_cell_length_c 9.491
_cell_angle_alpha 90.00
_cell_angle_beta 95.44
_cell_angle_gamma 90.00
loop_
_symmetry_equiv_pos_as_xyz
'x,y,z'
'-x,-y,-z'
'-x,y+1/2,-z'
'x,-y+1/2,z'
loop_
_atom_site_label
_atom_site_type_symbol
_atom_site_fract_x
_atom_site_fract_y
_atom_site_fract_z
_atom_site_occupancy
Y1 Y 0.063 0.250 0.376 1
Hg1 Hg 0.246 0.250 0.017 1
Hg2 Hg 0.343 0.750 0.808 1
Hg3 Hg 0.448 0.250 0.603 1
Pd1 Pd 0.054 0.750 0.911 1
Pd2 Pd 0.149 0.250 0.703 1
Pd3 Pd 0.153 0.750 0.209 1
Pd4 Pd 0.250 0.750 0.506 1
Pd5 Pd 0.363 0.250 0.302 1
Pd6 Pd 0.453 0.750 0.100 1
```

total magnetic moment: 0.000 μB per atom
ΔE to the lowest computed polymorph: 0.000 eV per atom
ρ: 12.2 g/cm3
total DFT energy (no corrections): -4.235 eV/atom

***

Compound: CaHoAs2Rh2
Source: Alexandria via LeMat-Bulk
Functional: PBE
Structure: optimized geometry

Structure (CIF):
```
data_CaHoAs2Rh2
_chemical_formula_sum 'Ca1 Ho1 As2 Rh2'
_symmetry_space_group_name_H-M 'P -3 m 1'
_symmetry_Int_Tables_number 164
_symmetry_space_group_name_Hall '-P 3 2"'
_cell_length_a 4.3677
_cell_length_b 4.3677
_cell_length_c 7.2280
_cell_angle_alpha 90.00
_cell_angle_beta 90.00
_cell_angle_gamma 120.00
loop_
_atom_site_label
_atom_site_type_symbol
_atom_site_fract_x
_atom_site_fract_y
_atom_site_fract_z
_atom_site_occupancy
Ca1 Ca 0.0000 0.0000 0.0000 1
Ho1 Ho 0.0000 0.0000 0.5000 1
As1 As 0.3333 0.6667 0.2702 1
Rh1 Rh 0.3333 0.6667 0.6991 1
```

total magnetic moment: 0.000 μB per atom
ρ: 7.8 g/cm3
total DFT energy (no corrections): -6.020 eV/atom

***

Compound: KRbCrPt2
Source: Alexandria via LeMat-Bulk
Functional: PBE
Structure: optimized geometry

Structure (CIF):
```
data_KRbCrPt2
_chemical_formula_sum 'K1 Rb1 Cr1 Pt2'
_symmetry_space_group_name_H-M 'P 4/m m m'
_symmetry_Int_Tables_number 123
_symmetry_space_group_name_Hall '-P 4 2'
_cell_length_a 5.418
_cell_length_b 5.418
_cell_length_c 5.452
_cell_angle_alpha 90.00
_cell_angle_beta 90.00
_cell_angle_gamma 90.00
loop_
_atom_site_label
_atom_site_type_symbol
_atom_site_fract_x
_atom_site_fract_y
_atom_site_fract_z
_atom_site_occupancy
K1 K 0.000 0.000 0.000 1
Rb1 Rb 0.000 0.000 0.500 1
Cr1 Cr 0.500 0.500 0.500 1
Pt1 Pt 0.000 0.500 0.000 1
```

total magnetic moment: 0.973 μB per atom
ρ: 5.9 g/cm3
total DFT energy (no corrections): -3.231 eV/atom